(1)
# Rb4ZnCd4 PBE optimized geometry
# ΔH_f (0 K): 0.41 kcal/mol of atoms
data_Rb4ZnCd4
_cell_length_a 10.5444
_cell_length_b 10.5444
_cell_length_c 6.9837
_cell_angle_alpha 90.00
_cell_angle_beta 90.00
_cell_angle_gamma 90.00
_symmetry_space_group_name_H-M 'P 42/n'
_symmetry_Int_Tables_number 86
loop_
_symmetry_equiv_pos_as_xyz
'x,y,z'
'-x,-y,-z'
'-y,x+1/2,z+1/2'
'y,-x+1/2,-z+1/2'
'-x+1/2,-y+1/2,z'
'x+1/2,y+1/2,-z'
'y+1/2,-x,z+1/2'
'-y+1/2,x,-z+1/2'
loop_
_atom_site_label
_atom_site_fract_x
_atom_site_fract_y
_atom_site_fract_z
Rb1 0.0557 0.8228 0.1051
Zn1 0.2500 0.2500 0.7500
Cd1 0.1018 0.2020 0.4080

***

(2)
# RbZnCd11 PBE optimized geometry
# ΔH_f (0 K): -0.26 kcal/mol of atoms
data_RbZnCd11
_cell_length_a 5.9432
_cell_length_b 14.4673
_cell_length_c 7.8619
_cell_angle_alpha 90.00
_cell_angle_beta 111.56
_cell_angle_gamma 90.00
_symmetry_space_group_name_H-M 'C 1 2/m 1'
_symmetry_Int_Tables_number 12
loop_
_symmetry_equiv_pos_as_xyz
'x,y,z'
'-x,-y,-z'
'-x,y,-z'
'x,-y,z'
'x+1/2,y+1/2,z'
'-x+1/2,-y+1/2,-z'
'-x+1/2,y+1/2,-z'
'x+1/2,-y+1/2,z'
loop_
_atom_site_label
_atom_site_fract_x
_atom_site_fract_y
_atom_site_fract_z
Rb1 0.0000 0.0000 0.0000
Zn1 0.0000 0.5000 0.5000
Cd1 0.0000 0.0000 0.5000
Cd2 0.1036 0.3908 0.2274
Cd3 0.1852 0.1755 0.3571
Cd4 0.2500 0.2500 0.0000

***

(3)
# Rb6ZnCd PBE optimized geometry
# ΔH_f (0 K): 0.81 kcal/mol of atoms
data_Rb6ZnCd
_cell_length_a 4.8273
_cell_length_b 14.3534
_cell_length_c 15.7287
_cell_angle_alpha 90.00
_cell_angle_beta 90.00
_cell_angle_gamma 90.00
_symmetry_space_group_name_H-M 'A m m 2'
_symmetry_Int_Tables_number 38
loop_
_symmetry_equiv_pos_as_xyz
'x,y,z'
'-x,-y,z'
'-x,y,z'
'x,-y,z'
'x,y+1/2,z+1/2'
'-x,-y+1/2,z+1/2'
'-x,y+1/2,z+1/2'
'x,-y+1/2,z+1/2'
loop_
_atom_site_label
_atom_site_fract_x
_atom_site_fract_y
_atom_site_fract_z
Rb1 0.0000 0.0000 0.0000
Rb2 0.0000 0.1557 0.7086
Rb3 0.5000 0.0000 0.2723
Rb4 0.5000 0.2155 0.4625
Zn1 0.5000 0.0000 0.5848
Cd1 0.0000 0.0000 0.4918

***

(4)
# Rb4ZnCd2 PBE optimized geometry
# ΔH_f (0 K): 3.18 kcal/mol of atoms
data_Rb4ZnCd2
_cell_length_a 6.9748
_cell_length_b 6.9748
_cell_length_c 17.6733
_cell_angle_alpha 90.00
_cell_angle_beta 90.00
_cell_angle_gamma 90.00
_symmetry_space_group_name_H-M 'I 4/m m m'
_symmetry_Int_Tables_number 139
_symmetry_space_group_name_Hall '-I 4 2'
loop_
_atom_site_label
_atom_site_fract_x
_atom_site_fract_y
_atom_site_fract_z
Rb1 0.0000 0.0000 0.2045
Rb2 0.0000 0.5000 0.0000
Zn1 0.0000 0.0000 0.0000
Cd1 0.0000 0.0000 0.4140

***

(5)
# Rb2ZnCd PBE optimized geometry
# ΔH_f (0 K): 5.33 kcal/mol of atoms
# energy above the most stable polymorph in this dataset: 214.5 meV/atom
data_Rb2ZnCd
_cell_length_a 10.0191
_cell_length_b 10.0191
_cell_length_c 7.3381
_cell_angle_alpha 90.00
_cell_angle_beta 90.00
_cell_angle_gamma 90.00
_symmetry_space_group_name_H-M 'I -4 2 d'
_symmetry_Int_Tables_number 122
_symmetry_space_group_name_Hall 'I -4 2bw'
loop_
_atom_site_label
_atom_site_fract_x
_atom_site_fract_y
_atom_site_fract_z
Rb1 0.2336 0.2500 0.1250
Zn1 0.0000 0.0000 0.0000
Cd1 0.0000 0.0000 0.5000

***

(6)
# Rb2ZnCd PBE optimized geometry
# ΔH_f (0 K): 7.41 kcal/mol of atoms
# energy above the most stable polymorph in this dataset: 304.8 meV/atom
data_Rb2ZnCd
_cell_length_a 4.5005
_cell_length_b 4.5005
_cell_length_c 38.5208
_cell_angle_alpha 90.00
_cell_angle_beta 90.00
_cell_angle_gamma 120.00
_symmetry_space_group_name_H-M 'R -3 m'
_symmetry_Int_Tables_number 166
_symmetry_space_group_name_Hall '-R 3 2"'
loop_
_atom_site_label
_atom_site_fract_x
_atom_site_fract_y
_atom_site_fract_z
Rb1 0.0000 0.0000 0.0958
Zn1 0.0000 0.0000 0.0000
Cd1 0.0000 0.0000 0.5000

***

> Which of these has the lowest ΔH_f (0 K)?

RbZnCd11

***

> ΔH_f (0 K) of number 5 (Rb2ZnCd)?

5.33 kcal/mol of atoms

***

> Which value of ΔH_f (0 K) does entry 6 give?

7.41 kcal/mol of atoms

***

> Which value of ΔH_f (0 K) does entry 5 give?

5.33 kcal/mol of atoms